Compound: NaLaMgWO6
Source: the Alexandria database
Functional: PBE with a Hubbard U
Structure: optimized geometry

Total energy: -7.090 eV/atom
Space group: C2/m, No. 12
Total moment: 0.00 μB per atom
Fermi-level density of states: 0.00 states/eV per atom

a b c (Å): 5.6033 5.6033 7.9572
angles (deg): 90.05 90.05 90.60
Last column: nearest neighbours and their distance in Å.
Fractional coordinates of all 20 atoms:
Na 0.2473 0.7527 0.0000  4 O 2.54-2.56
Na 0.7527 0.2473 0.0000  4 O 2.54-2.56
La 0.2466 0.7534 0.5000  8 O 2.48-2.69
La 0.7534 0.2466 0.5000  8 O 2.48-2.69
Mg 0.2519 0.2519 0.7570  6 O 2.06-2.14
Mg 0.7481 0.7481 0.2430  6 O 2.06-2.14
W 0.2480 0.2480 0.2383  6 O 1.86-2.08
W 0.7520 0.7520 0.7617  6 O 1.86-2.08
O 0.0090 0.0090 0.2052  1 W 1.90, 1 Mg 2.08
O 0.0090 0.4936 0.2716  1 W 1.95, 1 Mg 2.07
O 0.1928 0.1928 0.4944  1 W 2.08, 1 Mg 2.14
O 0.3036 0.3036 0.0108  1 W 1.86, 1 Mg 2.06
O 0.4907 0.4907 0.3125  1 W 2.00, 1 Mg 2.10
O 0.4936 0.0090 0.2716  1 W 1.95, 1 Mg 2.07
O 0.5064 0.9910 0.7284  1 W 1.95, 1 Mg 2.07
O 0.5093 0.5093 0.6875  1 W 2.00, 1 Mg 2.10
O 0.6964 0.6964 0.9892  1 W 1.86, 1 Mg 2.06
O 0.8072 0.8072 0.5056  1 W 2.08, 1 Mg 2.14
O 0.9910 0.5064 0.7284  1 W 1.95, 1 Mg 2.07
O 0.9910 0.9910 0.7948  1 W 1.90, 1 Mg 2.08